(1)
A relaxed LaSc crystal, computed with PBE.

CIF file:
```
data_LaSc
_cell_length_a 7.004
_cell_length_b 9.875
_cell_length_c 6.921
_cell_angle_alpha 90.00
_cell_angle_beta 90.00
_cell_angle_gamma 90.00
_space_group_name_H-M_alt 'I m m a'
_space_group_IT_number 74
_space_group_name_Hall '-I 2b 2'
loop_
_atom_site_label
_atom_site_type_symbol
_atom_site_fract_x
_atom_site_fract_y
_atom_site_fract_z
La1 La 0.000 0.000 0.000
La2 La 0.250 0.250 0.250
Sc1 Sc 0.000 0.000 0.500
Sc2 Sc 0.250 0.250 0.750
```

(2)
A relaxed LaSc crystal, computed with PBE.

CIF file:
```
data_LaSc
_cell_length_a 12.300
_cell_length_b 3.651
_cell_length_c 5.877
_cell_angle_alpha 90.00
_cell_angle_beta 112.65
_cell_angle_gamma 90.00
_space_group_name_H-M_alt 'C 1 2/m 1'
_space_group_IT_number 12
_space_group_name_Hall '-C 2y'
loop_
_atom_site_label
_atom_site_type_symbol
_atom_site_fract_x
_atom_site_fract_y
_atom_site_fract_z
La1 La 0.119 0.000 0.326
Sc1 Sc 0.141 0.500 0.837
```

(3)
A relaxed LaSc crystal, computed with PBE.

CIF file:
```
data_LaSc
_cell_length_a 3.5272
_cell_length_b 3.5272
_cell_length_c 5.6119
_cell_angle_alpha 90.00
_cell_angle_beta 90.00
_cell_angle_gamma 120.00
_space_group_name_H-M_alt 'P -6 m 2'
_space_group_IT_number 187
_space_group_name_Hall 'P -6 2'
loop_
_atom_site_label
_atom_site_type_symbol
_atom_site_fract_x
_atom_site_fract_y
_atom_site_fract_z
La1 La 0.0000 0.0000 0.0000
Sc1 Sc 0.3333 0.6667 0.5000
```

(4)
A relaxed LaSc crystal, computed with PBE.

CIF file:
```
data_LaSc
_cell_length_a 5.3587
_cell_length_b 5.3587
_cell_length_c 10.3010
_cell_angle_alpha 90.00
_cell_angle_beta 90.00
_cell_angle_gamma 120.00
_space_group_name_H-M_alt 'P 63/m m c'
_space_group_IT_number 194
_space_group_name_Hall '-P 6c 2c'
loop_
_atom_site_label
_atom_site_type_symbol
_atom_site_fract_x
_atom_site_fract_y
_atom_site_fract_z
La1 La 0.3333 0.6667 0.0842
Sc1 Sc 0.0000 0.0000 0.2500
Sc2 Sc 0.3333 0.6667 0.7500
```

(5)
A relaxed LaSc crystal, computed with PBE.

CIF file:
```
data_LaSc
_cell_length_a 3.5149
_cell_length_b 3.5149
_cell_length_c 17.0153
_cell_angle_alpha 90.00
_cell_angle_beta 90.00
_cell_angle_gamma 120.00
_space_group_name_H-M_alt 'P 3 m 1'
_space_group_IT_number 156
_space_group_name_Hall 'P 3 -2"'
loop_
_atom_site_label
_atom_site_type_symbol
_atom_site_fract_x
_atom_site_fract_y
_atom_site_fract_z
La1 La 0.0000 0.0000 0.0000
La2 La 0.0000 0.0000 0.3278
La3 La 0.6667 0.3333 0.5240
Sc1 Sc 0.0000 0.0000 0.6881
Sc2 Sc 0.6667 0.3333 0.1667
Sc3 Sc 0.6667 0.3333 0.8319
```

(6)
A relaxed La2Sc3 crystal, computed with PBE.

CIF file:
```
data_La2Sc3
_cell_length_a 3.4665
_cell_length_b 3.4665
_cell_length_c 41.2629
_cell_angle_alpha 90.00
_cell_angle_beta 90.00
_cell_angle_gamma 120.00
_space_group_name_H-M_alt 'R -3 m'
_space_group_IT_number 166
_space_group_name_Hall '-R 3 2"'
loop_
_atom_site_label
_atom_site_type_symbol
_atom_site_fract_x
_atom_site_fract_y
_atom_site_fract_z
La1 La 0.0000 0.0000 0.0990
Sc1 Sc 0.0000 0.0000 0.3029
Sc2 Sc 0.0000 0.0000 0.5000
```

no.,M_tot (μB per cell),density (g cm⁻³),formation energy (meV/atom)
1,0.000,5.1,69
2,0.000,5.0,65
3,0.000,5.0,124
4,0.001,4.8,232
5,0.000,5.0,85
6,0.000,4.8,74